The following is a DFT calculation (PBEsol) of an optimized crystal structure of NbHBr2.

Cell lengths 3.3322, 3.3322, 8.6169 Å; angles 78.85, 78.85, 60.00 degrees
With the nearest neighbours (Å) after each atom.
Sites, in units of the cell vectors:
1 H 0.0000 0.0000 0.0000  2 Br 2.37
2 Nb 0.5000 0.5000 0.5000  6 Br 2.66
3 Br 0.0939 0.0939 0.7183  1 H 2.37
4 Br 0.9061 0.9061 0.2817  1 H 2.37

Calculated values
Its electronic total energy is -4.388 eV/atom. The symmetry is R-3m, No. 166.